NdYI: relaxed, PBE-GGA.

```
data_NdYI
_chemical_formula_sum 'Nd1 Y1 I1'
_symmetry_space_group_name_H-M 'P 3 m 1'
_symmetry_Int_Tables_number 156
_symmetry_space_group_name_Hall 'P 3 -2"'
_cell_length_a 3.8889
_cell_length_b 3.8889
_cell_length_c 7.7278
_cell_angle_alpha 90.00
_cell_angle_beta 90.00
_cell_angle_gamma 120.00
loop_
_atom_site_label
_atom_site_type_symbol
_atom_site_fract_x
_atom_site_fract_y
_atom_site_fract_z
Nd1 Nd 0.0000 0.0000 0.0000
Y1 Y 0.6667 0.3333 0.3529
I1 I 0.3333 0.6667 0.6648
```

Values from the calculation:
V (Å³/atom): 33.7
Total magnetization (μB/f.u.): 0.3
Electronic total energy (eV per atom): -4.81



NdYI2: relaxed, PBE-GGA.

```
data_NdYI2
_chemical_formula_sum 'Nd3 Y3 I6'
_symmetry_space_group_name_H-M 'R -3 m'
_symmetry_Int_Tables_number 166
_symmetry_space_group_name_Hall '-R 3 2"'
_cell_length_a 3.8785
_cell_length_b 3.8785
_cell_length_c 32.5115
_cell_angle_alpha 90.00
_cell_angle_beta 90.00
_cell_angle_gamma 120.00
loop_
_atom_site_label
_atom_site_type_symbol
_atom_site_fract_x
_atom_site_fract_y
_atom_site_fract_z
Nd1 Nd 0.0000 0.0000 0.0000
Y1 Y 0.0000 0.0000 0.5000
I1 I 0.0000 0.0000 0.0995
```

Values from the calculation:
V (Å³/atom): 35.3
Total magnetization (μB/f.u.): 0.4
Electronic total energy (eV per atom): -4.27



NdYI6: relaxed, PBE-GGA.

```
data_NdYI6
_chemical_formula_sum 'Nd2 Y2 I12'
_symmetry_space_group_name_H-M 'C 1 2/m 1'
_symmetry_Int_Tables_number 12
_symmetry_space_group_name_Hall '-C 2y'
_cell_length_a 7.590
_cell_length_b 14.686
_cell_length_c 7.589
_cell_angle_alpha 90.00
_cell_angle_beta 108.18
_cell_angle_gamma 90.00
loop_
_atom_site_label
_atom_site_type_symbol
_atom_site_fract_x
_atom_site_fract_y
_atom_site_fract_z
Nd1 Nd 0.000 0.000 0.000
Y1 Y 0.000 0.500 0.500
I1 I 0.243 0.354 0.743
I2 I 0.247 0.500 0.253
```

Values from the calculation:
V (Å³/atom): 50.2
Total magnetization (μB/f.u.): 0.0
Electronic total energy (eV per atom): -3.93



NdY2I: relaxed, PBE-GGA.

```
data_NdY2I
_chemical_formula_sum 'Nd3 Y6 I3'
_symmetry_space_group_name_H-M 'R -3 m'
_symmetry_Int_Tables_number 166
_symmetry_space_group_name_Hall '-R 3 2"'
_cell_length_a 3.6319
_cell_length_b 3.6319
_cell_length_c 35.2960
_cell_angle_alpha 90.00
_cell_angle_beta 90.00
_cell_angle_gamma 120.00
loop_
_atom_site_label
_atom_site_type_symbol
_atom_site_fract_x
_atom_site_fract_y
_atom_site_fract_z
Nd1 Nd 0.0000 0.0000 0.0000
Y1 Y 0.0000 0.0000 0.0963
I1 I 0.0000 0.0000 0.5000
```

Values from the calculation:
V (Å³/atom): 33.6
Total magnetization (μB/f.u.): 0.7
Electronic total energy (eV per atom): -4.87



NdYI2: relaxed, PBE-GGA.

```
data_NdYI2
_chemical_formula_sum 'Nd3 Y3 I6'
_symmetry_space_group_name_H-M 'R 3 m'
_symmetry_Int_Tables_number 160
_symmetry_space_group_name_Hall 'R 3 -2"'
_cell_length_a 3.8461
_cell_length_b 3.8461
_cell_length_c 29.1878
_cell_angle_alpha 90.00
_cell_angle_beta 90.00
_cell_angle_gamma 120.00
loop_
_atom_site_label
_atom_site_type_symbol
_atom_site_fract_x
_atom_site_fract_y
_atom_site_fract_z
Nd1 Nd 0.0000 0.0000 0.0000
Y1 Y 0.0000 0.0000 0.1628
I1 I 0.0000 0.0000 0.5799
I2 I 0.0000 0.0000 0.7493
```

Values from the calculation:
V (Å³/atom): 31.2
Total magnetization (μB/f.u.): 0.0
Electronic total energy (eV per atom): -4.36



Nd2Y2I7: relaxed, PBE-GGA.

```
data_Nd2Y2I7
_chemical_formula_sum 'Nd4 Y4 I14'
_symmetry_space_group_name_H-M 'C 1 2/m 1'
_symmetry_Int_Tables_number 12
_symmetry_space_group_name_Hall '-C 2y'
_cell_length_a 9.205
_cell_length_b 13.457
_cell_length_c 8.229
_cell_angle_alpha 90.00
_cell_angle_beta 92.07
_cell_angle_gamma 90.00
loop_
_atom_site_label
_atom_site_type_symbol
_atom_site_fract_x
_atom_site_fract_y
_atom_site_fract_z
Nd1 Nd 0.000 0.136 0.000
Y1 Y 0.202 0.000 0.335
I1 I 0.000 0.500 0.500
I2 I 0.130 0.000 0.714
I3 I 0.213 0.298 0.782
```

Values from the calculation:
V (Å³/atom): 46.3
Total magnetization (μB/f.u.): 0.9
Electronic total energy (eV per atom): -4.02



NdYI5: relaxed, PBE-GGA.

```
data_NdYI5
_chemical_formula_sum 'Nd2 Y2 I10'
_symmetry_space_group_name_H-M 'P 1 21/m 1'
_symmetry_Int_Tables_number 11
_symmetry_space_group_name_Hall '-P 2yb'
_cell_length_a 9.513
_cell_length_b 4.230
_cell_length_c 15.062
_cell_angle_alpha 90.00
_cell_angle_beta 96.63
_cell_angle_gamma 90.00
loop_
_atom_site_label
_atom_site_type_symbol
_atom_site_fract_x
_atom_site_fract_y
_atom_site_fract_z
Nd1 Nd 0.088 0.250 0.159
Y1 Y 0.393 0.750 0.351
I1 I 0.131 0.250 0.786
I2 I 0.160 0.250 0.376
I3 I 0.180 0.750 0.017
I4 I 0.377 0.750 0.569
I5 I 0.431 0.250 0.200
```

Values from the calculation:
V (Å³/atom): 43.0
Total magnetization (μB/f.u.): 1.0
Electronic total energy (eV per atom): -4.06



NdYI4: relaxed, PBE-GGA.

```
data_NdYI4
_chemical_formula_sum 'Nd2 Y2 I8'
_symmetry_space_group_name_H-M 'C 1 2/m 1'
_symmetry_Int_Tables_number 12
_symmetry_space_group_name_Hall '-C 2y'
_cell_length_a 17.743
_cell_length_b 4.190
_cell_length_c 7.295
_cell_angle_alpha 90.00
_cell_angle_beta 113.81
_cell_angle_gamma 90.00
loop_
_atom_site_label
_atom_site_type_symbol
_atom_site_fract_x
_atom_site_fract_y
_atom_site_fract_z
Nd1 Nd 0.000 0.000 0.000
Y1 Y 0.000 0.500 0.500
I1 I 0.121 0.000 0.778
I2 I 0.125 0.500 0.299
```

Values from the calculation:
V (Å³/atom): 41.3
Total magnetization (μB/f.u.): 0.0
Electronic total energy (eV per atom): -4.17



Nd2YI6: relaxed, PBE-GGA.

```
data_Nd2YI6
_chemical_formula_sum 'Nd4 Y2 I12'
_symmetry_space_group_name_H-M 'P 42/m n m'
_symmetry_Int_Tables_number 136
_symmetry_space_group_name_Hall '-P 4n 2n'
_cell_length_a 7.914
_cell_length_b 7.914
_cell_length_c 12.146
_cell_angle_alpha 90.00
_cell_angle_beta 90.00
_cell_angle_gamma 90.00
loop_
_atom_site_label
_atom_site_type_symbol
_atom_site_fract_x
_atom_site_fract_y
_atom_site_fract_z
Nd1 Nd 0.000 0.000 0.158
Y1 Y 0.000 0.000 0.500
I1 I 0.211 0.211 0.336
I2 I 0.224 0.224 0.000
```

Values from the calculation:
V (Å³/atom): 42.3
Total magnetization (μB/f.u.): 0.5
Electronic total energy (eV per atom): -3.97



NdY2I: relaxed, PBE-GGA.

```
data_NdY2I
_chemical_formula_sum 'Nd3 Y6 I3'
_symmetry_space_group_name_H-M 'R 3 m'
_symmetry_Int_Tables_number 160
_symmetry_space_group_name_Hall 'R 3 -2"'
_cell_length_a 3.7945
_cell_length_b 3.7945
_cell_length_c 31.7017
_cell_angle_alpha 90.00
_cell_angle_beta 90.00
_cell_angle_gamma 120.00
loop_
_atom_site_label
_atom_site_type_symbol
_atom_site_fract_x
_atom_site_fract_y
_atom_site_fract_z
Nd1 Nd 0.0000 0.0000 0.0000
Y1 Y 0.0000 0.0000 0.5776
Y2 Y 0.0000 0.0000 0.7564
I1 I 0.0000 0.0000 0.1669
```

Values from the calculation:
V (Å³/atom): 32.9
Total magnetization (μB/f.u.): 0.0
Electronic total energy (eV per atom): -5.15



NdYI4: relaxed, PBE-GGA.

```
data_NdYI4
_chemical_formula_sum 'Nd1 Y1 I4'
_symmetry_space_group_name_H-M 'P 1 2/m 1'
_symmetry_Int_Tables_number 10
_symmetry_space_group_name_Hall '-P 2y'
_cell_length_a 7.289
_cell_length_b 4.188
_cell_length_c 8.478
_cell_angle_alpha 90.00
_cell_angle_beta 106.10
_cell_angle_gamma 90.00
loop_
_atom_site_label
_atom_site_type_symbol
_atom_site_fract_x
_atom_site_fract_y
_atom_site_fract_z
Nd1 Nd 0.000 0.000 0.000
Y1 Y 0.500 0.500 0.000
I1 I 0.257 0.500 0.249
I2 I 0.263 0.000 0.758
```

Values from the calculation:
V (Å³/atom): 41.4
Total magnetization (μB/f.u.): 0.0
Electronic total energy (eV per atom): -4.17



Nd4Zn2I5: relaxed, PBE-GGA.

```
data_Nd4Zn2I5
_chemical_formula_sum 'Nd8 Zn4 I10'
_symmetry_space_group_name_H-M 'C 1 2/m 1'
_symmetry_Int_Tables_number 12
_symmetry_space_group_name_Hall '-C 2y'
_cell_length_a 24.763
_cell_length_b 4.112
_cell_length_c 8.796
_cell_angle_alpha 90.00
_cell_angle_beta 92.23
_cell_angle_gamma 90.00
loop_
_atom_site_label
_atom_site_type_symbol
_atom_site_fract_x
_atom_site_fract_y
_atom_site_fract_z
Nd1 Nd 0.026 0.000 0.288
Nd2 Nd 0.166 0.500 0.441
Zn1 Zn 0.051 0.500 0.521
I1 I 0.000 0.500 0.000
I2 I 0.147 0.000 0.167
I3 I 0.212 0.000 0.693
```

Values from the calculation:
V (Å³/atom): 40.7
Total magnetization (μB/f.u.): 0.0
Electronic total energy (eV per atom): -3.52



Repeat the fifth record exactly.
NdYI2: relaxed, PBE-GGA.

```
data_NdYI2
_chemical_formula_sum 'Nd3 Y3 I6'
_symmetry_space_group_name_H-M 'R 3 m'
_symmetry_Int_Tables_number 160
_symmetry_space_group_name_Hall 'R 3 -2"'
_cell_length_a 3.8461
_cell_length_b 3.8461
_cell_length_c 29.1878
_cell_angle_alpha 90.00
_cell_angle_beta 90.00
_cell_angle_gamma 120.00
loop_
_atom_site_label
_atom_site_type_symbol
_atom_site_fract_x
_atom_site_fract_y
_atom_site_fract_z
Nd1 Nd 0.0000 0.0000 0.0000
Y1 Y 0.0000 0.0000 0.1628
I1 I 0.0000 0.0000 0.5799
I2 I 0.0000 0.0000 0.7493
```

Values from the calculation:
V (Å³/atom): 31.2
Total magnetization (μB/f.u.): 0.0
Electronic total energy (eV per atom): -4.36